No. 1
# PBEsol LaGa2Ni, optimized geometry
data_LaGa2Ni
_chemical_formula_sum 'La4 Ga8 Ni4'
_cell_length_a 4.2040
_cell_length_b 17.4464
_cell_length_c 4.1764
_cell_angle_alpha 90.00
_cell_angle_beta 90.00
_cell_angle_gamma 90.00
_space_group_name_H-M_alt 'C m m m'
_space_group_IT_number 65
_space_group_name_Hall '-C 2 2'
loop_
_atom_site_label
_atom_site_fract_x
_atom_site_fract_y
_atom_site_fract_z
_atom_site_occupancy
La1 0.0000 0.1407 0.0000 1
Ga1 0.0000 0.0000 0.5000 1
Ga2 0.0000 0.2908 0.5000 1
Ga3 0.0000 0.5000 0.0000 1
Ni1 0.0000 0.4281 0.5000 1
# Energy of formation   -0.6513 eV/atom
# Total magnetization   0.0 Bohr magnetons per cell

No. 2
# PBEsol Zn7Os, optimized geometry
data_Zn7Os
_chemical_formula_sum 'Zn28 Os4'
_cell_length_a 7.5777
_cell_length_b 7.5777
_cell_length_c 7.5777
_cell_angle_alpha 90.00
_cell_angle_beta 90.00
_cell_angle_gamma 90.00
_space_group_name_H-M_alt 'F m -3 m'
_space_group_IT_number 225
_space_group_name_Hall '-F 4 2 3'
loop_
_atom_site_label
_atom_site_fract_x
_atom_site_fract_y
_atom_site_fract_z
_atom_site_occupancy
Zn1 0.0000 0.0000 0.0000 1
Zn2 0.0000 0.2500 0.2500 1
Os1 0.0000 0.0000 0.5000 1
# Energy of formation   0.0119 eV/atom
# Total magnetization   0.0 Bohr magnetons per cell

No. 3
# PBEsol Sr2HgRu, optimized geometry
data_Sr2HgRu
_chemical_formula_sum 'Sr2 Hg1 Ru1'
_cell_length_a 3.6758
_cell_length_b 3.6758
_cell_length_c 8.5517
_cell_angle_alpha 90.00
_cell_angle_beta 90.00
_cell_angle_gamma 90.00
_space_group_name_H-M_alt 'P 4 m m'
_space_group_IT_number 99
_space_group_name_Hall 'P 4 -2'
loop_
_atom_site_label
_atom_site_fract_x
_atom_site_fract_y
_atom_site_fract_z
_atom_site_occupancy
Sr1 0.0000 0.0000 0.0000 1
Sr2 0.5000 0.5000 0.4166 1
Hg1 0.0000 0.0000 0.6481 1
Ru1 0.5000 0.5000 0.7624 1
# Energy of formation   0.2067 eV/atom
# Total magnetization   0.0 Bohr magnetons per cell

No. 4
# PBEsol Y3BBr3, optimized geometry
data_Y3BBr3
_chemical_formula_sum 'Y24 B8 Br24'
_cell_length_a 11.0529
_cell_length_b 11.0529
_cell_length_c 11.0529
_cell_angle_alpha 90.00
_cell_angle_beta 90.00
_cell_angle_gamma 90.00
_space_group_name_H-M_alt 'I 41 3 2'
_space_group_IT_number 214
_space_group_name_Hall 'I 4bd 2c 3'
loop_
_atom_site_label
_atom_site_fract_x
_atom_site_fract_y
_atom_site_fract_z
_atom_site_occupancy
Y1 0.1066 0.3566 0.1250 1
B1 0.1250 0.1250 0.1250 1
Br1 0.1155 0.1345 0.6250 1
# Total magnetization   0.0 Bohr magnetons per cell
# E_form (uncorrected)   -1.34 eV/atom

No. 5
# PBEsol SrTc2Ag, optimized geometry
data_SrTc2Ag
_chemical_formula_sum 'Sr3 Tc6 Ag3'
_cell_length_a 4.1915
_cell_length_b 4.1915
_cell_length_c 17.7743
_cell_angle_alpha 90.00
_cell_angle_beta 90.00
_cell_angle_gamma 120.00
_space_group_name_H-M_alt 'R 3 m'
_space_group_IT_number 160
_space_group_name_Hall 'R 3 -2"'
loop_
_atom_site_label
_atom_site_fract_x
_atom_site_fract_y
_atom_site_fract_z
_atom_site_occupancy
Sr1 0.0000 0.0000 0.0000 1
Tc1 0.0000 0.0000 0.1986 1
Tc2 0.0000 0.0000 0.5296 1
Ag1 0.0000 0.0000 0.7876 1
# Energy of formation   0.4355 eV/atom
# Total magnetization   0.0 Bohr magnetons per cell
# Relative energy among the computed polymorphs   0.0000 eV/atom

No. 6
# PBEsol CuTcTe3, optimized geometry
data_CuTcTe3
_chemical_formula_sum 'Cu1 Tc1 Te3'
_cell_length_a 5.0248
_cell_length_b 5.0248
_cell_length_c 5.0248
_cell_angle_alpha 90.00
_cell_angle_beta 90.00
_cell_angle_gamma 90.00
_space_group_name_H-M_alt 'P m -3 m'
_space_group_IT_number 221
_space_group_name_Hall '-P 4 2 3'
loop_
_atom_site_label
_atom_site_fract_x
_atom_site_fract_y
_atom_site_fract_z
_atom_site_occupancy
Cu1 0.0000 0.0000 0.0000 1
Tc1 0.5000 0.5000 0.5000 1
Te1 0.0000 0.0000 0.5000 1
# Total magnetization   3.8 Bohr magnetons per cell
# E_form (uncorrected)   1.13 eV/atom